# NiSbI2O

An optimized crystal structure of NiSbI2O (GGA+U, Alexandria).

a = 6.1544 Å, b = 6.1544 Å, c = 3.9942 Å
α = 90.00°, β = 90.00°, γ = 90.00°
Element x y z (fractional)
Ni: 0.0000 0.0000 0.0000
Sb: 0.5000 0.5000 0.0000
I: 0.0000 0.5000 0.5000
I: 0.5000 0.0000 0.5000
O: 0.5000 0.5000 0.5000

Properties
Raw total energy, eV/atom: -2.276
Relative energy among the computed polymorphs, meV per atom: 588
Symmetry: No. 123